1.
The following is a DFT calculation (PBE) of a relaxed structure of RbMnAgCl4.

abc: 6.438 7.423 8.982
angles: 90.00 105.01 90.00
Atoms (fractional coordinates):
Rb 0.247 0.250 0.435
Rb 0.753 0.750 0.565
Mn 0.275 0.750 0.178
Mn 0.725 0.250 0.822
Ag 0.355 0.250 0.986
Ag 0.645 0.750 0.014
Cl 0.012 0.750 0.945
Cl 0.170 0.750 0.408
Cl 0.470 0.008 0.789
Cl 0.470 0.492 0.789
Cl 0.530 0.508 0.211
Cl 0.530 0.992 0.211
Cl 0.830 0.250 0.592
Cl 0.988 0.250 0.055

Properties
symmetry	No. 11
calculated density	3125	kg/m3
crystal system	monoclinic
uncorrected formation energy	-1.155	eV/atom
DOS(E_F)	0.00	states/eV/f.u.
E	-4.07	eV/atom

=====

2.
The following is a DFT calculation (PBE) of a relaxed structure of Ca2Cu2Ir.

abc: 6.708 6.708 4.345
angles: 90.00 90.00 90.00
Atoms (fractional coordinates):
Ca 0.185 0.315 0.000
Ca 0.315 0.815 0.000
Ca 0.685 0.185 0.000
Ca 0.815 0.685 0.000
Cu 0.129 0.629 0.500
Cu 0.371 0.129 0.500
Cu 0.629 0.871 0.500
Cu 0.871 0.371 0.500
Ir 0.000 0.000 0.500
Ir 0.500 0.500 0.500

Properties
DFT formation energy	-0.54	eV per formula unit
symmetry	No. 127
calculated density	6785	kg/m3
crystal system	tetragonal
ΔE to the lowest computed polymorph	113	meV/atom
DOS(E_F)	1.97	states/eV/f.u.
E	-4.32	eV/atom

=====

3.
The following is a DFT calculation (PBE) of a relaxed structure of AlTl2Cu.

abc: 4.249 4.369 5.348
angles: 90.00 112.93 90.00
Atoms (fractional coordinates):
Al 0.000 0.000 0.000
Tl 0.408 0.500 0.816
Tl 0.704 0.000 0.419
Cu 0.114 0.500 0.239

Properties
DFT formation energy	0.81	eV per formula unit
symmetry	No. 6
calculated density	9068	kg/m3
crystal system	monoclinic
ΔE to the lowest computed polymorph	76	meV/atom
DOS(E_F)	1.33	states/eV/f.u.
E	-2.94	eV/atom

=====

4.
The following is a DFT calculation (PBE) of a relaxed structure of CeBiAu3.

abc: 14.109 14.109 4.737
angles: 90.00 90.00 165.28
Atoms (fractional coordinates):
Ce 0.075 0.925 0.750
Ce 0.925 0.075 0.250
Bi 0.209 0.791 0.250
Bi 0.791 0.209 0.750
Au 0.323 0.677 0.250
Au 0.378 0.622 0.750
Au 0.476 0.524 0.750
Au 0.524 0.476 0.250
Au 0.622 0.378 0.250
Au 0.677 0.323 0.750

Properties
DFT formation energy	-2.16	eV per formula unit
symmetry	No. 63
calculated density	13034	kg/m3
crystal system	orthorhombic
DOS(E_F)	7.21	states/eV/f.u.
E	-4.36	eV/atom

=====

5.
The following is a DFT calculation (PBE) of a relaxed structure of La2MnSnSb.

abc: 5.992 5.992 4.765
angles: 90.00 90.00 90.00
Atoms (fractional coordinates):
La 0.000 0.500 0.000
La 0.500 0.000 0.000
Mn 0.000 0.000 0.500
Sn 0.000 0.000 0.000
Sb 0.500 0.500 0.500

Properties
symmetry	No. 123
calculated density	5564	kg/m3
crystal system	tetragonal
uncorrected formation energy	0.307	eV/atom
DOS(E_F)	6.39	states/eV/f.u.
E	-5.12	eV/atom

=====

6.
The following is a DFT calculation (PBE) of a relaxed structure of Ga7Pb2Au12.

abc: 4.372 10.310 10.480
angles: 63.24 83.23 87.33
Atoms (fractional coordinates):
Ga 0.000 0.000 0.000
Ga 0.179 0.705 0.934
Ga 0.181 0.408 0.712
Ga 0.281 0.907 0.406
Ga 0.719 0.093 0.594
Ga 0.819 0.592 0.288
Ga 0.821 0.295 0.066
Pb 0.284 0.315 0.344
Pb 0.716 0.685 0.656
Au 0.195 0.152 0.712
Au 0.206 0.902 0.655
Au 0.276 0.618 0.451
Au 0.315 0.457 0.922
Au 0.326 0.116 0.136
Au 0.342 0.769 0.141
Au 0.658 0.231 0.859
Au 0.674 0.884 0.864
Au 0.685 0.543 0.078
Au 0.724 0.382 0.549
Au 0.794 0.098 0.345
Au 0.805 0.848 0.288

Properties
DFT formation energy	-3.05	eV per formula unit
symmetry	No. 2
calculated density	12950	kg/m3
crystal system	triclinic
DOS(E_F)	7.46	states/eV/f.u.
E	-3.38	eV/atom

=====

7.
The following is a DFT calculation (PBE) of a relaxed structure of VFe2B.

abc: 8.236 8.236 3.725
angles: 90.00 90.00 161.62
Atoms (fractional coordinates):
V 0.110 0.890 0.750
V 0.890 0.110 0.250
Fe 0.264 0.736 0.250
Fe 0.464 0.536 0.750
Fe 0.536 0.464 0.250
Fe 0.736 0.264 0.750
B 0.338 0.662 0.750
B 0.662 0.338 0.250

Properties
DFT formation energy	-0.31	eV per formula unit
symmetry	No. 63
calculated density	7231	kg/m3
crystal system	orthorhombic
DOS(E_F)	4.95	states/eV/f.u.
E	-8.26	eV/atom

=====

8.
The following is a DFT calculation (PBE) of a relaxed structure of Sb2IrBr2.

abc: 6.968 6.968 5.618
angles: 90.00 90.00 90.00
Atoms (fractional coordinates):
Sb 0.153 0.347 0.000
Sb 0.347 0.847 0.000
Sb 0.653 0.153 0.000
Sb 0.847 0.653 0.000
Ir 0.000 0.000 0.000
Ir 0.500 0.500 0.000
Br 0.189 0.311 0.500
Br 0.311 0.811 0.500
Br 0.689 0.189 0.500
Br 0.811 0.689 0.500

Properties
symmetry	No. 127
calculated density	7251	kg/m3
crystal system	tetragonal
uncorrected formation energy	0.036	eV/atom
ΔE to the lowest computed polymorph	0	meV/atom
DOS(E_F)	1.03	states/eV/f.u.
E	-4.05	eV/atom